Entry 1:
The following is a DFT calculation (PBE-GGA) of a relaxed CeAlCrGe2 crystal.

Output
E = -6.0399 eV/atom
ΔH_f (0 K) = -333.0 meV/atom
mass density = 6.5 g cm⁻³

Unit cell a=5.7516 b=5.6567 c=5.7428 alpha=90.00 beta=90.00 gamma=90.00
Site moments in Bohr magnetons follow the coordinates.
Sites, in units of the cell vectors:
Ce: 0.2289 0.2500 0.5000  -0.60
Ce: 0.7711 0.7500 0.5000  -0.60
Al: 0.6249 0.7500 0.0000  -0.01
Al: 0.3751 0.2500 0.0000  -0.01
Cr: 0.0000 0.0000 0.0000  1.82
Cr: 0.0000 0.5000 0.0000  1.82
Ge: 0.7435 0.2500 0.7368  -0.03
Ge: 0.7435 0.2500 0.2632  -0.03
Ge: 0.2565 0.7500 0.7368  -0.03
Ge: 0.2565 0.7500 0.2632  -0.03

Entry 2:
The following is a DFT calculation (PBE-GGA) of a relaxed LiPd2Rh2 crystal.

Output
E = -5.3173 eV/atom
ΔH_f (0 K) = 83.2 meV/atom
energy above the lowest structure with this stoichiometry = 0.0 meV per atom
mass density = 8.7 g cm⁻³

Unit cell a=7.6876 b=7.6876 c=2.7462 alpha=90.00 beta=90.00 gamma=90.00
Site moments in Bohr magnetons follow the coordinates.
Sites, in units of the cell vectors:
Rh: 0.3834 0.8834 0.0000  0.49
Rh: 0.8834 0.6166 0.0000  0.48
Rh: 0.6166 0.1166 0.0000  0.49
Rh: 0.1166 0.3834 0.0000  0.48
Pd: 0.1821 0.6821 0.5000  0.23
Pd: 0.6821 0.8179 0.5000  0.24
Pd: 0.8179 0.3179 0.5000  0.23
Pd: 0.3179 0.1821 0.5000  0.24
Li: 0.0000 0.0000 0.0000  -0.01
Li: 0.5000 0.5000 0.0000  -0.01

Entry 3:
The following is a DFT calculation (PBE-GGA) of a relaxed MnW2Au crystal.

Output
E = -9.2927 eV/atom
ΔH_f (0 K) = 295.6 meV/atom
energy above the lowest structure with this stoichiometry = 73.0 meV per atom
mass density = 16.2 g cm⁻³

Unit cell a=2.7301 b=2.7301 c=8.5060 alpha=90.00 beta=90.00 gamma=90.00
Site moments in Bohr magnetons follow the coordinates.
Sites, in units of the cell vectors:
Au: 0.0000 0.0000 0.5092  0.05
Mn: 0.5000 0.5000 0.7571  2.97
W: 0.0000 0.0000 0.9849  -0.10
W: 0.5000 0.5000 0.2488  -0.04